(1)
Nd4DySc3 | PBE | optimized geometry

Structure (extended XYZ):
```
8
Lattice="13.673 -1.737 0.000 13.673 1.737 0.000 -0.362 0.000 5.672" Properties=species:S:1:pos:R:3 pbc="T T T"
Nd 2.722 0.000 0.176
Nd 4.990 0.000 3.181
Nd 21.995 0.000 2.491
Nd 24.263 0.000 5.496
Dy -0.181 0.000 2.836
Sc 7.711 0.000 5.276
Sc 13.673 0.000 0.000
Sc 19.274 0.000 0.396
```

Results
Total magnetization in μB/f.u.: 0.0
SG: C2/m (12)
Calculated total energy in eV/atom: -5.040

(2)
SrZr2Se | PBE | optimized geometry

Structure (extended XYZ):
```
4
Lattice="3.079 -4.605 0.000 3.079 4.605 0.000 0.000 0.000 3.486" Properties=species:S:1:pos:R:3 pbc="T T T"
Sr 0.000 0.000 0.000
Zr 1.539 2.303 1.743
Zr 1.539 -2.303 1.743
Se 3.079 0.000 0.000
```

Results
E_form (uncorrected) in eV per formula unit: 0.7
Total magnetization in μB/f.u.: 0.0
SG: Cmmm (65)

(3)
Ba5Sr2LiTl2 | PBE | optimized geometry

Structure (extended XYZ):
```
20
Lattice="14.954 0.000 0.000 0.000 14.954 0.000 0.000 0.000 4.455" Properties=species:S:1:pos:R:3 pbc="T T T"
Ba 0.000 7.477 0.000
Ba 0.768 3.039 0.000
Ba 3.039 14.186 0.000
Ba 4.438 6.709 0.000
Ba 6.709 10.515 0.000
Ba 7.477 0.000 0.000
Ba 8.245 4.438 0.000
Ba 10.515 8.245 0.000
Ba 11.915 0.768 0.000
Ba 14.186 11.915 0.000
Sr 2.844 10.321 2.228
Sr 4.633 2.844 2.228
Sr 10.321 12.109 2.228
Sr 12.109 4.633 2.228
Li 0.000 0.000 2.228
Li 7.477 7.477 2.228
Tl 2.033 5.443 2.228
Tl 5.443 12.920 2.228
Tl 9.510 2.033 2.228
Tl 12.920 9.510 2.228
```

Results
Total magnetization in μB/f.u.: 0.0
SG: P4/mbm (127)
Calculated total energy in eV/atom: -2.101

(4)
TbGe3Pd3 | PBE | optimized geometry

Structure (extended XYZ):
```
14
Lattice="6.780 0.000 0.000 0.000 6.780 0.000 0.000 0.000 6.780" Properties=species:S:1:pos:R:3 pbc="T T T"
Tb 0.000 0.000 0.000
Tb 3.390 3.390 3.390
Ge 0.000 1.695 3.390
Ge 0.000 5.085 3.390
Ge 1.695 3.390 0.000
Ge 3.390 0.000 1.695
Ge 3.390 0.000 5.085
Ge 5.085 3.390 0.000
Pd 0.000 3.390 1.695
Pd 0.000 3.390 5.085
Pd 1.695 0.000 3.390
Pd 3.390 1.695 0.000
Pd 3.390 5.085 0.000
Pd 5.085 0.000 3.390
```

Results
Total magnetization in μB/f.u.: 0.0
SG: Pm-3n (223)
Calculated total energy in eV/atom: -5.074

(5)
Dy2ThScBi5 | PBE | optimized geometry

Structure (extended XYZ):
```
9
Lattice="5.774 0.000 0.000 0.000 5.774 0.000 0.000 0.000 11.509" Properties=species:S:1:pos:R:3 pbc="T T T"
Dy 0.000 0.000 2.506
Dy 0.000 0.000 9.004
Th 2.887 2.887 0.000
Sc 2.887 2.887 5.755
Bi 0.000 0.000 5.755
Bi 0.000 2.887 0.000
Bi 2.887 0.000 0.000
Bi 2.887 2.887 3.048
Bi 2.887 2.887 8.461
```

Results
Total magnetization in μB/f.u.: 0.0
SG: P4/mmm (123)
Calculated total energy in eV/atom: -4.463

(6)
K5C3 | PBE | optimized geometry

Structure (extended XYZ):
```
16
Lattice="8.639 0.000 0.000 -4.319 7.482 0.000 0.000 0.000 7.229" Properties=species:S:1:pos:R:3 pbc="T T T"
K -1.184 2.050 1.807
K -3.136 5.431 5.421
K 2.368 0.000 1.807
K 1.184 2.050 5.421
K 0.000 4.988 0.000
K 0.000 4.988 3.614
K 4.319 2.494 0.000
K 4.319 2.494 3.614
K 6.271 0.000 5.421
K 3.136 5.431 1.807
C -1.650 2.859 5.421
C -2.669 4.623 1.807
C 3.301 0.000 5.421
C 1.650 2.859 1.807
C 5.338 0.000 1.807
C 2.669 4.623 5.421
```

Results
Total magnetization in μB/f.u.: 7.0
SG: P6_3/mcm (193)
Calculated total energy in eV/atom: -2.537